# MgPaCo2Si2

A geometry-optimized MgPaCo2Si2 structure (PBE, the Alexandria database).

Energy (eV per atom): -6.509
Crystal system: trigonal
ΔE_f (raw) (eV per atom): -0.48

a = 4.047 Å, b = 4.047 Å, c = 6.581 Å
α = 90.00°, β = 90.00°, γ = 120.00°
Fractional positions:
1 Mg 0.000 0.000 0.500
2 Pa 0.000 0.000 0.000
3 Co 0.667 0.333 0.274
4 Co 0.333 0.667 0.726
5 Si 0.667 0.333 0.712
6 Si 0.333 0.667 0.288


# Tb2PuRh3

A geometry-optimized Tb2PuRh3 structure (PBE, the Alexandria database).

Energy (eV per atom): -8.284
Crystal system: tetragonal
Energy of formation (eV per formula unit): -4.1

a = 3.430 Å, b = 3.430 Å, c = 10.377 Å
α = 90.00°, β = 90.00°, γ = 90.00°
Site moments in Bohr magnetons follow the coordinates.
Fractional positions:
1 Tb 0.500 0.500 0.834  0.02
2 Tb 0.500 0.500 0.166  0.02
3 Pu 0.500 0.500 0.500  5.04
4 Rh 0.000 0.000 0.000  -0.02
5 Rh 0.000 0.000 0.666  -0.21
6 Rh 0.000 0.000 0.334  -0.21


- Which of these has the highest energy?
  MgPaCo2Si2


Copy entry 2 word for word.
# Tb2PuRh3

A geometry-optimized Tb2PuRh3 structure (PBE, the Alexandria database).

Energy (eV per atom): -8.284
Crystal system: tetragonal
Energy of formation (eV per formula unit): -4.1

a = 3.430 Å, b = 3.430 Å, c = 10.377 Å
α = 90.00°, β = 90.00°, γ = 90.00°
Site moments in Bohr magnetons follow the coordinates.
Fractional positions:
1 Tb 0.500 0.500 0.834  0.02
2 Tb 0.500 0.500 0.166  0.02
3 Pu 0.500 0.500 0.500  5.04
4 Rh 0.000 0.000 0.000  -0.02
5 Rh 0.000 0.000 0.666  -0.21
6 Rh 0.000 0.000 0.334  -0.21


- Which of these has the highest energy?
  MgPaCo2Si2


Copy entry 2 word for word.
# Tb2PuRh3

A geometry-optimized Tb2PuRh3 structure (PBE, the Alexandria database).

Energy (eV per atom): -8.284
Crystal system: tetragonal
Energy of formation (eV per formula unit): -4.1

a = 3.430 Å, b = 3.430 Å, c = 10.377 Å
α = 90.00°, β = 90.00°, γ = 90.00°
Site moments in Bohr magnetons follow the coordinates.
Fractional positions:
1 Tb 0.500 0.500 0.834  0.02
2 Tb 0.500 0.500 0.166  0.02
3 Pu 0.500 0.500 0.500  5.04
4 Rh 0.000 0.000 0.000  -0.02
5 Rh 0.000 0.000 0.666  -0.21
6 Rh 0.000 0.000 0.334  -0.21